Record 1
A geometry-optimized CeErRh2 structure. Source: Alexandria, functional PBE-GGA.

* M_tot: 0.000 μB/cell
* formation energy from the elements: -0.690 eV/atom
* space group: R-3m, No. 166

a b c (Å): 3.9424 3.9424 6.9980
angles (deg): 73.64 73.64 60.00
Atoms (fractional coordinates):
Rh (0.2471, 0.2471, 0.2586)
Rh (0.7529, 0.7529, 0.7414)
Er (0.0000, 0.0000, 0.0000)
Ce (0.5000, 0.5000, 0.5000)

=====

Record 2
A geometry-optimized CePr5S6 structure. Source: Alexandria, functional PBE-GGA.

* formation energy (no corrections): -2.029 eV/atom
* M_tot: 0.723 μB/cell
* space group: C2/m, No. 12

a b c (Å): 7.0891 7.0875 7.0890
angles (deg): 60.01 80.37 70.45
Site moments in Bohr magnetons follow the coordinates.
Atoms (fractional coordinates):
S (0.2465, 0.5896, 0.3280)  0.00
S (0.7535, 0.4104, 0.6720)  0.00
S (0.2465, 0.9176, 0.6720)  0.00
S (0.7506, 0.7545, 0.0000)  0.00
S (0.2494, 0.2455, 0.0000)  0.00
S (0.7535, 0.0824, 0.3280)  0.00
Pr (0.5000, 0.8295, 0.3410)  0.00
Pr (0.5000, 0.5000, 0.0000)  0.01
Pr (0.5000, 0.1705, 0.6590)  0.00
Pr (0.0000, 0.6674, 0.6652)  0.01
Pr (0.0000, 0.3326, 0.3348)  0.01
Ce (0.0000, 0.0000, 0.0000)  0.57

=====

Record 3
A geometry-optimized Ce2Pu2Tl structure. Source: Alexandria, functional PBE-GGA.

* M_tot: 24.312 μB/cell
* formation energy from the elements: -0.023 eV/atom
* space group: C2/c, No. 15

a b c (Å): 5.5480 10.2366 13.6379
angles (deg): 21.09 78.26 74.28
Site moments in Bohr magnetons follow the coordinates.
Atoms (fractional coordinates):
Pu (0.0121, 0.4516, 0.1567)  5.22
Pu (0.6205, 0.0484, 0.3433)  5.22
Pu (0.3795, 0.9516, 0.6567)  5.22
Pu (0.9879, 0.5484, 0.8433)  5.22
Ce (0.6425, 0.1536, 0.0688)  0.58
Ce (0.8648, 0.3464, 0.4312)  0.58
Ce (0.3575, 0.8464, 0.9312)  0.58
Ce (0.1352, 0.6536, 0.5688)  0.58
Tl (0.7490, 0.2500, 0.7500)  -0.01
Tl (0.2510, 0.7500, 0.2500)  -0.01

=====

Record 4
A geometry-optimized Pm6Ag2N structure. Source: Alexandria, functional PBE-GGA.

* formation energy (no corrections): -0.403 eV/atom
* M_tot: 0.000 μB/cell
* space group: P2_1/c, No. 14

a b c (Å): 6.7664 7.2660 10.1107
angles (deg): 90.00 89.16 90.00
Atoms (fractional coordinates):
Pm (0.3906, 0.5214, 0.2403)
Pm (0.6985, 0.1901, 0.4507)
Pm (0.1985, 0.3099, 0.9507)
Pm (0.3189, 0.7900, 0.9509)
Pm (0.6811, 0.2100, 0.0491)
Pm (0.3015, 0.8099, 0.5493)
Pm (0.8189, 0.7100, 0.4509)
Pm (0.8906, 0.9786, 0.7403)
Pm (0.8015, 0.6901, 0.0493)
Pm (0.1811, 0.2900, 0.5491)
Pm (0.6094, 0.4786, 0.7597)
Pm (0.1094, 0.0214, 0.2597)
Ag (0.0454, 0.5780, 0.7496)
Ag (0.5454, 0.9220, 0.2496)
Ag (0.4546, 0.0780, 0.7504)
Ag (0.9546, 0.4220, 0.2504)
N (0.5000, 0.5000, 0.0000)
N (0.0000, 0.0000, 0.5000)

=====

Record 5
A geometry-optimized K2BeSi structure. Source: Alexandria, functional PBE-GGA.

* formation energy (no corrections): 0.513 eV/atom
* M_tot: 0.000 μB/cell
* excess energy over the best structure of this formula in the dataset: 0.3479 eV/atom
* space group: P4mm, No. 99

a b c (Å): 3.4657 3.4657 10.0472
angles (deg): 90.00 90.00 90.00
Atoms (fractional coordinates):
K (0.5000, 0.5000, 0.3335)
K (0.0000, 0.0000, 0.9247)
Be (0.5000, 0.5000, 0.6379)
Si (0.0000, 0.0000, 0.6038)

=====

Record 6
A geometry-optimized In6Te8I structure. Source: Alexandria, functional PBE-GGA.

* formation energy (no corrections): -0.194 eV/atom
* M_tot: 0.000 μB/cell
* space group: R-3, No. 148

a b c (Å): 8.8401 8.8401 8.8401
angles (deg): 78.83 78.83 78.83
Atoms (fractional coordinates):
Te (0.7843, 0.7843, 0.7843)
Te (0.4117, 0.1836, 0.6629)
Te (0.2157, 0.2157, 0.2157)
Te (0.1836, 0.6629, 0.4117)
Te (0.5883, 0.8164, 0.3371)
Te (0.3371, 0.5883, 0.8164)
Te (0.6629, 0.4117, 0.1836)
Te (0.8164, 0.3371, 0.5883)
In (0.3259, 0.5163, 0.1465)
In (0.8535, 0.6741, 0.4837)
In (0.4837, 0.8535, 0.6741)
In (0.5163, 0.1465, 0.3259)
In (0.1465, 0.3259, 0.5163)
In (0.6741, 0.4837, 0.8535)
I (0.0000, 0.0000, 0.0000)

=====

Record 7
A geometry-optimized PrAl3Ir2 structure. Source: Alexandria, functional PBE-GGA.

* M_tot: 0.000 μB/cell
* formation energy from the elements: -0.805 eV/atom
* space group: C2/m, No. 12

a b c (Å): 4.1691 8.5386 10.0161
angles (deg): 105.35 90.00 104.13
Atoms (fractional coordinates):
Al (0.5000, 0.0000, 0.5000)
Al (0.3263, 0.6525, 0.0366)
Al (0.6292, 0.2585, 0.2059)
Al (0.9526, 0.9051, 0.6530)
Al (0.2165, 0.4330, 0.3944)
Al (0.6737, 0.3475, 0.9634)
Al (0.3708, 0.7415, 0.7941)
Al (0.7835, 0.5670, 0.6056)
Al (0.0474, 0.0949, 0.3470)
Ir (0.4744, 0.9488, 0.2258)
Ir (0.8084, 0.6167, 0.8762)
Ir (0.5256, 0.0512, 0.7742)
Ir (0.3624, 0.7247, 0.5465)
Ir (0.1916, 0.3833, 0.1238)
Ir (0.6376, 0.2753, 0.4535)
Pr (0.8394, 0.6788, 0.2900)
Pr (0.0000, 0.0000, 0.0000)
Pr (0.1606, 0.3212, 0.7100)

=====

Record 8
A geometry-optimized Ho2Ga3Cu4Hg structure. Source: Alexandria, functional PBE-GGA.

* M_tot: 0.000 μB/cell
* formation energy from the elements: -0.333 eV/atom
* space group: P-4m2, No. 115

a b c (Å): 4.0885 4.0885 10.6998
angles (deg): 90.00 90.00 90.00
Atoms (fractional coordinates):
Cu (0.5000, 0.0000, 0.6534)
Cu (0.0000, 0.5000, 0.3466)
Cu (0.0000, 0.0000, 0.0000)
Cu (0.5000, 0.5000, 0.0000)
Ga (0.0000, 0.0000, 0.5000)
Ga (0.5000, 0.0000, 0.8745)
Ga (0.0000, 0.5000, 0.1255)
Ho (0.0000, 0.5000, 0.7632)
Ho (0.5000, 0.0000, 0.2368)
Hg (0.5000, 0.5000, 0.5000)